## i
5
Lattice="-2.351 2.361 6.578 2.351 -2.361 6.578 2.351 2.361 -6.578" Properties=species:S:1:pos:R:3 comment="BaMgCd2Hg (GGA-PBE, relaxed)" total_magnetization_mub_per_cell=0.00 pbc="T T T"
Ba 0.000 0.000 0.000
Mg 2.351 0.000 3.360
Cd 0.000 0.000 8.105
Cd 0.000 2.361 3.293
Hg 0.000 0.000 5.136



## ii
5
Lattice="5.527 0.000 0.000 0.000 5.527 0.000 0.000 0.000 6.302" Properties=species:S:1:pos:R:3 comment="BaMgCd2Hg (GGA-PBE, relaxed)" total_magnetization_mub_per_cell=0.00 pbc="T T T"
Ba 0.000 0.000 0.000
Mg 2.764 2.764 0.000
Cd 0.000 2.764 3.151
Cd 2.764 0.000 3.151
Hg 0.000 0.000 3.151



Which of them is least stable? Easy: ii.



## i
5
Lattice="6.771 -2.494 0.000 6.771 2.494 0.000 -1.763 0.000 4.570" Properties=species:S:1:pos:R:3 comment="BaCd2HgPb (GGA-PBE, relaxed)" total_magnetization_mub_per_cell=0.00 pbc="T T T"
Ba 0.000 0.000 0.000
Cd 2.081 0.000 3.436
Cd 7.298 0.000 2.834
Hg 4.669 0.000 1.812
Pb 9.781 0.000 1.165



## ii
5
Lattice="6.045 0.000 0.000 0.000 6.045 0.000 0.000 0.000 6.067" Properties=species:S:1:pos:R:3 comment="BaCd2HgPb (GGA-PBE, relaxed)" total_magnetization_mub_per_cell=0.00 pbc="T T T"
Ba 0.000 0.000 0.000
Cd 0.000 3.022 3.034
Cd 3.022 0.000 3.034
Hg 3.022 3.022 3.034
Pb 3.022 3.022 0.000



Which of them is least stable? Easy: ii.



## i
5
Lattice="5.301 0.000 0.000 0.000 5.301 0.000 0.000 0.000 5.899" Properties=species:S:1:pos:R:3 comment="BaCd2HgPd (GGA-PBE, relaxed)" total_magnetization_mub_per_cell=0.00 pbc="T T T"
Ba 0.000 0.000 0.000
Cd 0.000 2.651 2.949
Cd 2.651 0.000 2.949
Hg 2.651 2.651 0.000
Pd 0.000 0.000 2.949



## ii
5
Lattice="5.259 0.000 0.000 0.000 5.259 0.000 0.000 0.000 5.373" Properties=species:S:1:pos:R:3 comment="BaCd2HgPd (GGA-PBE, relaxed)" total_magnetization_mub_per_cell=0.00 pbc="T T T"
Ba 0.000 0.000 0.000
Cd 0.000 2.629 2.687
Cd 2.629 0.000 2.687
Hg 2.629 2.629 0.000
Pd 2.629 2.629 2.687



Which of them is least stable? Easy: i.



## i
5
Lattice="6.101 0.000 0.000 0.000 6.101 0.000 0.000 0.000 5.305" Properties=species:S:1:pos:R:3 comment="Ba2CdHgPd (GGA-PBE, relaxed)" total_magnetization_mub_per_cell=0.00 pbc="T T T"
Ba 0.000 3.051 0.000
Ba 3.051 0.000 0.000
Cd 0.000 0.000 2.652
Hg 3.051 3.051 2.652
Pd 3.051 3.051 0.000



## ii
5
Lattice="6.103 0.000 0.000 0.000 6.103 0.000 0.000 0.000 5.265" Properties=species:S:1:pos:R:3 comment="Ba2CdHgPd (GGA-PBE, relaxed)" total_magnetization_mub_per_cell=0.00 pbc="T T T"
Ba 0.000 3.052 0.000
Ba 3.052 0.000 0.000
Cd 0.000 0.000 2.632
Hg 3.052 3.052 2.632
Pd 0.000 0.000 0.000



Which of them is least stable? Easy: i.



## i
5
Lattice="5.352 0.000 0.000 0.000 5.352 0.000 0.000 0.000 5.222" Properties=species:S:1:pos:R:3 comment="BaCdHg2Pd (GGA-PBE, relaxed)" total_magnetization_mub_per_cell=0.00 pbc="T T T"
Ba 0.000 0.000 0.000
Cd 2.676 2.676 0.000
Hg 0.000 2.676 2.611
Hg 2.676 0.000 2.611
Pd 2.676 2.676 2.611



## ii
5
Lattice="-2.283 2.366 6.326 2.283 -2.366 6.326 2.283 2.366 -6.326" Properties=species:S:1:pos:R:3 comment="BaCdHg2Pd (GGA-PBE, relaxed)" total_magnetization_mub_per_cell=0.00 pbc="T T T"
Ba 0.000 0.000 0.000
Cd 2.283 0.000 3.351
Hg 0.000 0.000 7.762
Hg 0.000 2.366 3.456
Pd 0.000 0.000 5.003



Which of them is least stable? Easy: i.



## i
5
Lattice="6.110 0.000 0.000 0.000 6.110 0.000 0.000 0.000 5.275" Properties=species:S:1:pos:R:3 comment="Ba2CdHgPt (GGA-PBE, relaxed)" total_magnetization_mub_per_cell=0.00 pbc="T T T"
Ba 0.000 3.055 0.000
Ba 3.055 0.000 0.000
Cd 0.000 0.000 2.638
Hg 3.055 3.055 2.638
Pt 0.000 0.000 0.000



## ii
5
Lattice="6.114 0.000 0.000 0.000 6.114 0.000 0.000 0.000 5.311" Properties=species:S:1:pos:R:3 comment="Ba2CdHgPt (GGA-PBE, relaxed)" total_magnetization_mub_per_cell=0.00 pbc="T T T"
Ba 0.000 3.057 0.000
Ba 3.057 0.000 0.000
Cd 0.000 0.000 2.656
Hg 3.057 3.057 2.656
Pt 3.057 3.057 0.000



## iii
10
Lattice="8.529 0.000 0.000 0.000 4.789 0.000 -3.539 0.000 8.048" Properties=species:S:1:pos:R:3 comment="Ba2CdHgPt (GGA-PBE, relaxed)" total_magnetization_mub_per_cell=0.00 pbc="T T T"
Ba -0.454 1.197 1.765
Ba 0.755 3.592 5.027
Ba 4.235 1.197 3.021
Ba 5.443 3.592 6.283
Cd -0.490 1.197 7.532
Cd 5.480 3.592 0.516
Hg 2.281 3.592 1.342
Hg 2.709 1.197 6.706
Pt -1.438 1.197 4.849
Pt 6.427 3.592 3.199



Which of them is least stable? Easy: ii.



## i
5
Lattice="5.947 0.000 0.000 0.000 5.947 0.000 0.000 0.000 5.326" Properties=species:S:1:pos:R:3 comment="Ba2CdHgRh (GGA-PBE, relaxed)" total_magnetization_mub_per_cell=0.00 pbc="T T T"
Ba 0.000 2.974 0.000
Ba 2.974 0.000 0.000
Cd 0.000 0.000 2.663
Hg 2.974 2.974 2.663
Rh 2.974 2.974 0.000



## ii
5
Lattice="5.955 0.000 0.000 0.000 5.955 0.000 0.000 0.000 5.270" Properties=species:S:1:pos:R:3 comment="Ba2CdHgRh (GGA-PBE, relaxed)" total_magnetization_mub_per_cell=0.00 pbc="T T T"
Ba 0.000 2.978 0.000
Ba 2.978 0.000 0.000
Cd 0.000 0.000 2.635
Hg 2.978 2.978 2.635
Rh 0.000 0.000 0.000



Which of them is least stable? Easy: i.



## i
5
Lattice="5.499 0.000 0.000 0.000 5.499 0.000 0.000 0.000 5.838" Properties=species:S:1:pos:R:3 comment="BaCdHg2Sb (GGA-PBE, relaxed)" total_magnetization_mub_per_cell=0.00 pbc="T T T"
Ba 0.000 0.000 0.000
Cd 2.749 2.749 2.919
Hg 0.000 2.749 2.919
Hg 2.749 0.000 2.919
Sb 2.749 2.749 0.000



## ii
5
Lattice="-2.403 2.509 6.346 2.403 -2.509 6.346 2.403 2.509 -6.346" Properties=species:S:1:pos:R:3 comment="BaCdHg2Sb (GGA-PBE, relaxed)" total_magnetization_mub_per_cell=0.00 pbc="T T T"
Ba 0.000 0.000 0.000
Cd 2.403 0.000 3.230
Hg 0.000 0.000 4.891
Hg 0.000 2.509 3.423
Sb 0.000 0.000 7.769



Which of them is least stable? Easy: i.